VASP calculation (GGA+U) on K2LiW2O7 after structural relaxation.

CIF file:
```
data_K2LiW2O7
_symmetry_space_group_name_H-M 'P 1'
_symmetry_Int_Tables_number 1
_cell_length_a 11.114
_cell_length_b 11.114
_cell_length_c 11.114
_cell_angle_alpha 159.47
_cell_angle_beta 159.47
_cell_angle_gamma 29.19
loop_
_symmetry_equiv_pos_as_xyz
'x,y,z'
loop_
_atom_site_label
_atom_site_type_symbol
_atom_site_fract_x
_atom_site_fract_y
_atom_site_fract_z
K1 K 0.190 0.190 0.000
K2 K 0.810 0.810 0.000
Li1 Li 0.000 0.000 0.000
W1 W 0.407 0.407 0.000
W2 W 0.593 0.593 0.000
O1 O 0.088 0.588 0.500
O2 O 0.320 0.320 0.000
O3 O 0.412 0.912 0.500
O4 O 0.500 0.500 0.000
O5 O 0.588 0.088 0.500
O6 O 0.680 0.680 0.000
O7 O 0.912 0.412 0.500
```

Summary:
VASP energy = -6.419 eV per atom
volume = 14.060 Å³ per atom
total moment = 0.000 Bohr magnetons per cell